[1]
Here is PmGd3P after structural relaxation from the Alexandria database. Energies are from PBE.

Computed properties:
The total moment comes out at 4.789 μB/atom. The density of states at the Fermi level is 7.72 states/eV/f.u. As for the total energy: -10.9226 eV per atom.

abc: 5.455 5.455 5.455
angles: 90.00 90.00 90.00
Fractional positions:
P1 0.000 0.000 0.000
Gd1 0.000 0.500 0.000
Gd2 0.000 0.000 0.500
Gd3 0.500 0.000 0.000
Pm1 0.500 0.500 0.500

***

[2]
Here is PmGdP2 after structural relaxation from the Alexandria database. Energies are from PBE.

Computed properties:
The total moment comes out at 1.743 μB/atom. As for the energy above the most stable polymorph in this dataset: 0 meV per atom. The density of states at the Fermi level is 0.36 states/eV/f.u.

abc: 4.095 4.095 7.085
angles: 73.20 73.20 60.00
Fractional positions:
P1 0.752 0.752 0.745
P2 0.248 0.248 0.255
Gd1 0.500 0.500 0.500
Pm1 0.000 0.000 0.000

***

[3]
Here is Pm2GdP after structural relaxation from the Alexandria database. Energies are from PBE.

Computed properties:
The total moment comes out at 2.156 μB/atom. As for the energy above the most stable polymorph in this dataset: 127 meV per atom. The density of states at the Fermi level is 4.27 states/eV/f.u.

abc: 3.720 3.720 8.063
angles: 90.00 90.00 90.00
Fractional positions:
P1 0.500 0.500 0.000
Gd1 0.500 0.500 0.500
Pm1 0.000 0.000 0.808
Pm2 0.000 0.000 0.192

***

The lowest total moment belongs to which entry? PmGdP2